A PBEsol-optimized structure of Tl2ZnBr, computed with SCAN.

The structure in POSCAR format:
```
Tl2ZnBr
1.0
-1.467 0.768 -3.075
2.398 -2.538 -0.065
-6.752 -6.421 1.616
Tl Br Zn
2 1 1
direct
0.500 0.500 0.712 Tl
0.000 0.000 0.004 Tl
0.500 0.500 0.299 Br
0.000 0.000 0.484 Zn
```

- Uncorrected formation energy: -0.154 eV/atom
- Symmetry: No. 35

A PBEsol-optimized structure of Tl2ZnBr, computed with SCAN.

The structure in POSCAR format:
```
Tl2ZnBr
1.0
3.826 0.000 0.000
1.913 3.313 0.000
1.913 1.104 8.589
Br Tl Zn
1 2 1
direct
0.000 0.000 0.000 Br
0.245 0.245 0.264 Tl
0.755 0.755 0.736 Tl
0.500 0.500 0.500 Zn
```

- Uncorrected formation energy: -0.153 eV/atom
- Symmetry: No. 166

A PBEsol-optimized structure of ZrTlBr2, computed with SCAN.

The structure in POSCAR format:
```
ZrTlBr2
1.0
4.662 0.000 0.000
0.000 4.662 0.000
-2.331 -2.331 4.237
Tl Zr Br
1 1 2
direct
0.500 0.500 0.000 Tl
0.000 0.000 0.000 Zr
0.250 0.750 0.500 Br
0.750 0.250 0.500 Br
```

- Uncorrected formation energy: -0.254 eV/atom
- Symmetry: No. 139

A PBEsol-optimized structure of ZrTlBr2, computed with SCAN.

The structure in POSCAR format:
```
ZrTlBr2
1.0
3.422 0.000 0.000
0.000 4.800 0.000
0.000 0.000 5.756
Tl Br Zr
1 2 1
direct
0.500 0.500 0.000 Tl
0.000 0.000 0.000 Br
0.500 0.000 0.500 Br
0.000 0.500 0.500 Zr
```

- Uncorrected formation energy: -0.337 eV/atom
- Symmetry: No. 47

Ordered magnetization results: 0.0, 0.0, 0.0, 0.0; unit μB/f.u..
Ordered VASP energy results: -44.577, -44.576, -35.748, -35.831; unit eV per atom.
Ordered ΔE to the lowest computed polymorph results: 0.0, 0.7, 317.1, 234.1; unit meV per atom.